# 1
First-principles (PBE-GGA) data for an optimized crystal structure of ZnCdB2O5, as listed in the Alexandria database.

E_form (uncorrected) = -1.917 eV/atom
Volume = 408.30 Å³ per cell

Cell lengths 3.461, 6.501, 18.145 Å; angles 90.00, 90.00, 90.00 degrees
Positions (direct):
O1 0.077 0.627 0.954
O2 0.508 0.193 0.795
O3 0.276 0.013 0.157
O4 0.008 0.307 0.205
O5 0.224 0.987 0.657
O6 0.724 0.513 0.343
O7 0.509 0.168 0.346
O8 0.397 0.713 0.572
O9 0.991 0.832 0.846
O10 0.776 0.487 0.843
O11 0.009 0.332 0.654
O12 0.897 0.787 0.428
O13 0.491 0.668 0.154
O14 0.992 0.807 0.295
O15 0.492 0.693 0.705
O16 0.603 0.213 0.928
O17 0.923 0.127 0.546
O18 0.423 0.373 0.454
O19 0.103 0.287 0.072
O20 0.577 0.873 0.046
Zn1 0.514 0.391 0.712
Zn2 0.014 0.109 0.288
Zn3 0.986 0.609 0.212
Zn4 0.486 0.891 0.788
B1 0.042 0.144 0.617
B2 0.869 0.710 0.358
B3 0.958 0.644 0.883
B4 0.369 0.790 0.642
B5 0.542 0.356 0.383
B6 0.631 0.290 0.858
B7 0.458 0.856 0.117
B8 0.131 0.210 0.142
Cd1 0.908 0.510 0.525
Cd2 0.092 0.010 0.975
Cd3 0.408 0.990 0.475
Cd4 0.592 0.490 0.025



# 2
First-principles (PBE-GGA) data for an optimized crystal structure of Np2Zn16Au, as listed in the Alexandria database.

Volume = 310.43 Å³ per cell
Energy of formation from the pure elements = -0.080 eV/atom

Cell lengths 6.821, 6.821, 6.821 Å; angles 82.77, 82.77, 82.77 degrees
Positions (direct):
Au1 0.898 0.898 0.898
Zn1 0.703 0.999 0.296
Zn2 0.354 0.839 0.354
Zn3 0.646 0.161 0.646
Zn4 0.703 0.296 0.999
Zn5 0.161 0.646 0.646
Zn6 0.646 0.646 0.161
Zn7 0.296 0.703 0.999
Zn8 0.296 0.999 0.703
Zn9 0.354 0.354 0.839
Zn10 0.105 0.105 0.105
Zn11 0.497 0.001 0.001
Zn12 0.001 0.001 0.497
Zn13 0.001 0.497 0.001
Zn14 0.999 0.296 0.703
Zn15 0.839 0.354 0.354
Zn16 0.999 0.703 0.296
Np1 0.339 0.339 0.339
Np2 0.660 0.660 0.660



# 3
First-principles (PBE-GGA) data for an optimized crystal structure of Pt4Rh3W2, as listed in the Alexandria database.

Volume = 297.48 Å³ per cell
Energy of formation from the pure elements = 0.074 eV/atom

Cell lengths 6.920, 9.228, 6.920 Å; angles 56.10, 117.23, 123.90 degrees
Positions (direct):
W1 0.532 0.190 0.821
W2 0.821 0.310 0.532
W3 0.179 0.690 0.468
W4 0.468 0.810 0.179
Pt1 0.704 0.609 0.292
Pt2 0.292 0.891 0.704
Pt3 0.708 0.109 0.296
Pt4 0.764 0.979 0.889
Pt5 0.236 0.021 0.111
Pt6 0.296 0.391 0.708
Pt7 0.889 0.521 0.764
Pt8 0.111 0.479 0.236
Rh1 0.340 0.567 0.934
Rh2 0.934 0.933 0.340
Rh3 0.660 0.433 0.066
Rh4 0.647 0.750 0.647
Rh5 0.066 0.067 0.660
Rh6 0.353 0.250 0.353



# 4
First-principles (PBE-GGA) data for an optimized crystal structure of VCoC2, as listed in the Alexandria database.

Volume = 32.97 Å³ per cell
Energy of formation from the pure elements = 0.802 eV/atom

Cell lengths 3.599, 3.599, 3.599 Å; angles 60.00, 60.00, 60.00 degrees
Positions (direct):
C1 0.750 0.750 0.750
C2 0.250 0.250 0.250
Co1 0.500 0.500 0.500
V1 0.000 0.000 0.000



# 5
First-principles (PBE-GGA) data for an optimized crystal structure of ThAl2CdAg5, as listed in the Alexandria database.

Volume = 191.24 Å³ per cell
Energy of formation from the pure elements = 0.064 eV/atom

Cell lengths 4.973, 4.973, 7.734 Å; angles 90.00, 90.00, 90.00 degrees
Positions (direct):
Al1 0.500 0.500 0.163
Al2 0.500 0.500 0.837
Ag1 0.500 0.500 0.500
Ag2 0.000 0.500 0.258
Ag3 0.500 0.000 0.258
Ag4 0.500 0.000 0.742
Ag5 0.000 0.500 0.742
Th1 0.000 0.000 0.500
Cd1 0.000 0.000 0.000



# 6
First-principles (PBE-GGA) data for an optimized crystal structure of TaAg3, as listed in the Alexandria database.

Volume = 72.71 Å³ per cell
Energy of formation from the pure elements = 0.405 eV/atom

Cell lengths 5.093, 5.093, 2.803 Å; angles 90.00, 90.00, 90.00 degrees
Positions (direct):
Ag1 0.000 0.000 0.000
Ag2 0.500 0.500 0.000
Ag3 0.500 0.000 0.500
Ta1 0.000 0.500 0.500